Here is BaSrPrSbO6 after structural relaxation from Alexandria via LeMat-Bulk. Energies are from GGA-PBE.

Lattice parameters (Å, degrees): 6.073 6.098 8.599 90.34 90.50 89.90
Sites, in units of the cell vectors:
Ba: 0.506 0.522 0.250
Ba: 0.494 0.478 0.750
Sr: 0.992 0.030 0.252
Sr: 0.008 0.970 0.748
Pr: 0.000 0.500 0.000
Pr: 0.500 0.000 0.500
Sb: 0.500 0.000 0.000
Sb: 0.000 0.500 0.500
O: 0.241 0.201 0.952
O: 0.262 0.701 0.526
O: 0.759 0.799 0.048
O: 0.738 0.299 0.474
O: 0.296 0.743 0.966
O: 0.191 0.232 0.546
O: 0.704 0.257 0.034
O: 0.809 0.768 0.454
O: 0.418 0.002 0.229
O: 0.060 0.461 0.270
O: 0.582 0.998 0.771
O: 0.940 0.539 0.730

Calculated values
**Space-group type**: P-1, No. 2
**ΔE_f (raw)**: -2.573 eV per atom
**Calculated density**: 6.1 g cm⁻³
**DOS(E_F)**: 0.000 states/eV/atom

Here is PmThRuPt after structural relaxation from Alexandria via LeMat-Bulk. Energies are from GGA-PBE.

Lattice parameters (Å, degrees): 3.941 4.145 6.032 90.00 109.07 90.00
Sites, in units of the cell vectors:
Pm: 0.856 0.500 0.712
Th: 0.135 0.000 0.271
Ru: 0.596 0.500 0.191
Pt: 0.413 0.000 0.826

Calculated values
**Space-group type**: Amm2, No. 38
**E**: -7.687 eV per atom
**Calculated density**: 12.0 g cm⁻³
**DOS(E_F)**: 0.678 states/eV/atom

Here is RuSeBr2Cl after structural relaxation from Alexandria via LeMat-Bulk. Energies are from GGA-PBE.

Lattice parameters (Å, degrees): 5.139 5.139 4.698 90.00 90.00 90.00
Sites, in units of the cell vectors:
Ru: 0.000 0.000 0.000
Se: 0.000 0.000 0.500
Br: 0.000 0.500 0.000
Br: 0.500 0.000 0.000
Cl: 0.500 0.500 0.500

Calculated values
**Space-group type**: P4/mmm, No. 123
**ΔE_f (raw)**: 0.273 eV per atom
**Calculated density**: 5.0 g cm⁻³
**DOS(E_F)**: 1.296 states/eV/atom

Here is RbMg6Sn2 after structural relaxation from Alexandria via LeMat-Bulk. Energies are from GGA-PBE.

Lattice parameters (Å, degrees): 4.920 4.920 10.275 90.00 90.00 90.00
Sites, in units of the cell vectors:
Rb: 0.000 0.000 0.000
Mg: 0.000 0.500 0.306
Mg: 0.500 0.000 0.306
Mg: 0.000 0.500 0.694
Mg: 0.500 0.000 0.694
Mg: 0.500 0.500 0.500
Mg: 0.000 0.000 0.500
Sn: 0.500 0.500 0.152
Sn: 0.500 0.500 0.848

Calculated values
**Space-group type**: P4/mmm, No. 123
**E**: -2.149 eV per atom
**Calculated density**: 3.1 g cm⁻³
**DOS(E_F)**: 0.467 states/eV/atom

Here is AcLa2ErSe4 after structural relaxation from Alexandria via LeMat-Bulk. Energies are from GGA-PBE.

Lattice parameters (Å, degrees): 4.241 7.513 7.413 108.87 90.00 90.00
Sites, in units of the cell vectors:
Ac: 0.000 0.000 0.000
La: 0.500 0.000 0.500
La: 0.000 0.500 0.500
Er: 0.500 0.500 0.000
Se: 0.500 0.266 0.248
Se: 0.500 0.734 0.752
Se: 0.000 0.270 0.764
Se: 0.000 0.730 0.236

Calculated values
**Space-group type**: P2/m, No. 10
**ΔE_f (raw)**: -1.864 eV per atom
**Calculated density**: 7.3 g cm⁻³
**DOS(E_F)**: 0.646 states/eV/atom

Here is BiW3Br after structural relaxation from Alexandria via LeMat-Bulk. Energies are from GGA-PBE.

Lattice parameters (Å, degrees): 4.718 4.718 4.718 90.00 90.00 90.00
Sites, in units of the cell vectors:
Br: 0.000 0.000 0.000
Bi: 0.500 0.500 0.500
W: 0.000 0.500 0.000
W: 0.000 0.000 0.500
W: 0.500 0.000 0.000

Calculated values
**Space-group type**: Pm-3m, No. 221
**ΔE_f (raw)**: 2.170 eV per atom
**Calculated density**: 13.3 g cm⁻³
**DOS(E_F)**: 1.012 states/eV/atom

Here is Ru4C after structural relaxation from Alexandria via LeMat-Bulk. Energies are from GGA-PBE.

Lattice parameters (Å, degrees): 4.012 4.012 4.012 90.00 90.00 90.00
Sites, in units of the cell vectors:
Ru: 0.000 0.000 0.000
Ru: 0.500 0.000 0.500
Ru: 0.000 0.500 0.500
Ru: 0.500 0.500 0.000
C: 0.500 0.500 0.500

Calculated values
**Space-group type**: Pm-3m, No. 221
**E**: -8.849 eV per atom
**Calculated density**: 10.7 g cm⁻³
**DOS(E_F)**: 1.400 states/eV/atom

Here is Co4Ru after structural relaxation from Alexandria via LeMat-Bulk. Energies are from GGA-PBE.

Lattice parameters (Å, degrees): 4.419 4.419 4.419 90.00 90.00 90.00
Last column: magnetic moment on the atom in μB.
Sites, in units of the cell vectors:
Ru: 0.500 0.500 0.500  0.65
Co: 0.000 0.000 0.000  2.11
Co: 0.500 0.000 0.500  1.59
Co: 0.000 0.500 0.500  1.59
Co: 0.500 0.500 0.000  1.59

Calculated values
**Space-group type**: Pm-3m, No. 221
**E**: -5.803 eV per atom
**Calculated density**: 6.5 g cm⁻³
**DOS(E_F)**: 2.095 states/eV/atom

Here is Re3P after structural relaxation from Alexandria via LeMat-Bulk. Energies are from GGA-PBE.

Lattice parameters (Å, degrees): 3.974 2.826 5.244 76.84 90.00 90.00
Sites, in units of the cell vectors:
Re: 0.500 0.359 0.766
Re: 0.000 0.000 0.500
Re: 0.500 0.641 0.234
P: 0.000 0.000 0.000

Calculated values
**Space-group type**: P2/m, No. 10
**E**: -10.575 eV per atom
**Calculated density**: 17.1 g cm⁻³
**DOS(E_F)**: 0.602 states/eV/atom

Here is Ho3InC after structural relaxation from Alexandria via LeMat-Bulk. Energies are from GGA-PBE.

Lattice parameters (Å, degrees): 5.556 5.556 5.556 90.00 90.00 90.00
Sites, in units of the cell vectors:
Ho: 0.500 0.000 0.500
Ho: 0.500 0.500 0.000
Ho: 0.000 0.500 0.500
In: 0.500 0.500 0.500
C: 0.000 0.000 0.000

Calculated values
**Space-group type**: Pm-3m, No. 221
**E**: -3.546 eV per atom
**Calculated density**: 6.0 g cm⁻³
**DOS(E_F)**: 0.481 states/eV/atom